Entry 1
Here is crystalline PmNdAgPt at its relaxed geometry from the Alexandria database. Energies are from PBE-GGA.

It has space group Amm2 (No. 38), with a = 4.712 Å, b = 3.924 Å, c = 11.013 Å, α = 90.00°, β = 90.00° and γ = 90.00°. The distinct sites, in fractional coordinates, are Pm at (0.000, 0.000, 0.000), Nd at (0.500, 0.000, 0.724), Ag at (0.000, 0.000, 0.281) and Pt at (0.500, 0.000, 0.448).

As for the crystal system: orthorhombic. The value obtained for the total moment is 0.00 μB per formula unit. The value obtained for the volume is 25.454 A^3/atom.

---

Entry 2
Here is crystalline PmNdAgPt at its relaxed geometry from the Alexandria database. Energies are from PBE-GGA.

It has space group F-43m (No. 216), with a = 7.318 Å, b = 7.318 Å, c = 7.318 Å, α = 90.00°, β = 90.00° and γ = 90.00°. The distinct sites, in fractional coordinates, are Pm at (0.000, 0.000, 0.000), Nd at (0.000, 0.000, 0.500), Ag at (0.250, 0.250, 0.250) and Pt at (0.250, 0.250, 0.750).

As for the crystal system: cubic. The value obtained for the total moment is 0.00 μB per formula unit. The value obtained for the volume is 24.498 A^3/atom.

---

Most stable to least stable: entry 1, entry 2